Entry 1:
Here is a relaxed structure of Li2YAuF from Alexandria via LeMat-Bulk. Energies are from PBE.

The calculation puts the formation energy (no corrections) at -133.7 kJ/mol of atoms. The calculation puts the electronic total energy at -22.4 eV for the cell shown.

The structure belongs to space group P4/mmm (No. 123); the cell edges are 4.122, 4.122 and 4.956 Å and the angles 90.00°, 90.00° and 90.00°. Symmetry generates all atoms from Li at (0.000, 0.500, 0.000), Y at (0.000, 0.000, 0.500), Au at (0.500, 0.500, 0.500) and F at (0.000, 0.000, 0.000).

Entry 2:
Here is a relaxed structure of Lu2AuF from Alexandria via LeMat-Bulk. Energies are from PBE.

The calculation puts the formation energy (no corrections) at -160.6 kJ/mol of atoms. The calculation puts the electronic total energy at -62.5 eV for the cell shown.

The structure belongs to space group R-3m (No. 166, hexagonal axes); the cell edges are 4.3128, 4.3128 and 20.9143 Å and the angles 90.00°, 90.00° and 120.00°. Symmetry generates all atoms from Lu at (0.0000, 0.0000, 0.1010), Au at (0.0000, 0.0000, 0.5000) and F at (0.0000, 0.0000, 0.0000).

Entry 3:
Here is a relaxed structure of MgAu2F8 from Alexandria via LeMat-Bulk. Energies are from PBE.

The calculation puts the formation energy (no corrections) at -163.7 kJ/mol of atoms. The calculation puts the electronic total energy at -41.8 eV for the cell shown. The energy above the lowest structure with this stoichiometry comes out at 0.019 eV per atom.

The structure belongs to space group P-1 (No. 2); the cell edges are 5.508, 5.632 and 5.643 Å and the angles 71.27°, 83.40° and 84.02°. Symmetry generates all atoms from Mg at (0.000, 0.000, 0.000), Au at (0.243, 0.365, 0.361), F at (0.225, 0.671, 0.066), F at (0.228, 0.073, 0.671), F at (0.235, 0.146, 0.148) and F at (0.260, 0.579, 0.569).

Entry 4:
Here is a relaxed structure of MgAu2F8 from Alexandria via LeMat-Bulk. Energies are from PBE.

The calculation puts the formation energy (no corrections) at -165.6 kJ/mol of atoms. The calculation puts the electronic total energy at -84.0 eV for the cell shown. The energy above the lowest structure with this stoichiometry comes out at 0.000 eV per atom.

The structure belongs to space group P2_1/c (No. 14); the cell edges are 5.603, 5.744 and 11.073 Å and the angles 90.00°, 109.40° and 90.00°. Symmetry generates all atoms from Mg at (0.000, 0.000, 0.000), Au at (0.369, 0.228, 0.326), F at (0.072, 0.134, 0.179), F at (0.160, 0.228, 0.441), F at (0.327, 0.682, 0.530) and F at (0.428, 0.724, 0.286).

Entry 5:
Here is a relaxed structure of Mg4AuF2 from Alexandria via LeMat-Bulk. Energies are from PBE.

The calculation puts the formation energy (no corrections) at -114.9 kJ/mol of atoms. The calculation puts the electronic total energy at -43.5 eV for the cell shown.

The structure belongs to space group I4/mmm (No. 139); the cell edges are 5.228, 5.228 and 11.378 Å and the angles 90.00°, 90.00° and 90.00°. Symmetry generates all atoms from Mg at (0.000, 0.000, 0.224), Mg at (0.000, 0.500, 0.000), Au at (0.000, 0.000, 0.000) and F at (0.000, 0.000, 0.387).

Entry 6:
Here is a relaxed structure of MgAuF from Alexandria via LeMat-Bulk. Energies are from PBE.

The calculation puts the formation energy (no corrections) at -176.3 kJ/mol of atoms. The calculation puts the electronic total energy at -48.9 eV for the cell shown.

The structure belongs to space group Pnma (No. 62); the cell edges are 13.277, 3.411 and 4.318 Å and the angles 90.00°, 90.00° and 90.00°. Symmetry generates all atoms from Mg at (0.163, 0.250, 0.229), Au at (0.004, 0.250, 0.748) and F at (0.240, 0.750, 0.096).

Entry 7:
Here is a relaxed structure of Mg2AuNF from Alexandria via LeMat-Bulk. Energies are from PBE.

The calculation puts the formation energy (no corrections) at -39.5 kJ/mol of atoms. The calculation puts the electronic total energy at -18.7 eV for the cell shown.

The structure belongs to space group P4/mmm (No. 123); the cell edges are 4.235, 4.235 and 4.166 Å and the angles 90.00°, 90.00° and 90.00°. Symmetry generates all atoms from Mg at (0.000, 0.500, 0.000), Au at (0.000, 0.000, 0.500), N at (0.500, 0.500, 0.000) and F at (0.500, 0.500, 0.500).

Entry 8:
Here is a relaxed structure of NaMgAu2F8 from Alexandria via LeMat-Bulk. Energies are from PBE.

The calculation puts the formation energy (no corrections) at -154.3 kJ/mol of atoms. The calculation puts the electronic total energy at -43.6 eV for the cell shown.

The structure belongs to space group P-3 (No. 147); the cell edges are 5.5659, 5.5659 and 6.4676 Å and the angles 90.00°, 90.00° and 120.00°. Symmetry generates all atoms from Na at (0.0000, 0.0000, 0.0000), Mg at (0.0000, 0.0000, 0.5000), Au at (0.3333, 0.6667, 0.6443), F at (0.0699, 0.7465, 0.3279) and F at (0.3333, 0.6667, 0.9477).

Entry 9:
Here is a relaxed structure of MgAuO2F from Alexandria via LeMat-Bulk. Energies are from PBE.

The calculation puts the formation energy (no corrections) at -83.6 kJ/mol of atoms. The calculation puts the electronic total energy at -21.0 eV for the cell shown.

The structure belongs to space group P4/mmm (No. 123); the cell edges are 4.025, 4.025 and 3.688 Å and the angles 90.00°, 90.00° and 90.00°. Symmetry generates all atoms from Mg at (0.000, 0.000, 0.000), Au at (0.500, 0.500, 0.500), O at (0.000, 0.500, 0.000) and F at (0.000, 0.000, 0.500).

Entry 10:
Here is a relaxed structure of MgAuO2F from Alexandria via LeMat-Bulk. Energies are from PBE.

The calculation puts the formation energy (no corrections) at -51.0 kJ/mol of atoms. The calculation puts the electronic total energy at -19.3 eV for the cell shown.

The structure belongs to space group P4/mmm (No. 123); the cell edges are 4.108, 4.108 and 4.294 Å and the angles 90.00°, 90.00° and 90.00°. Symmetry generates all atoms from Mg at (0.000, 0.000, 0.000), Au at (0.500, 0.500, 0.500), O at (0.000, 0.500, 0.500) and F at (0.500, 0.500, 0.000).

Entry 11:
Here is a relaxed structure of MgAuOF2 from Alexandria via LeMat-Bulk. Energies are from PBE.

The calculation puts the formation energy (no corrections) at -150.7 kJ/mol of atoms. The calculation puts the electronic total energy at -21.4 eV for the cell shown. The energy above the lowest structure with this stoichiometry comes out at 0.000 eV per atom.

The structure belongs to space group P4/mmm (No. 123); the cell edges are 3.723, 3.723 and 4.473 Å and the angles 90.00°, 90.00° and 90.00°. Symmetry generates all atoms from Mg at (0.000, 0.000, 0.000), Au at (0.500, 0.500, 0.500), O at (0.000, 0.000, 0.500) and F at (0.000, 0.500, 0.000).

Entry 12:
Here is a relaxed structure of MgAuOF2 from Alexandria via LeMat-Bulk. Energies are from PBE.

The calculation puts the formation energy (no corrections) at -75.0 kJ/mol of atoms. The calculation puts the electronic total energy at -17.5 eV for the cell shown. The energy above the lowest structure with this stoichiometry comes out at 0.785 eV per atom.

The structure belongs to space group P4/mmm (No. 123); the cell edges are 4.403, 4.403 and 4.147 Å and the angles 90.00°, 90.00° and 90.00°. Symmetry generates all atoms from Mg at (0.000, 0.000, 0.000), Au at (0.500, 0.500, 0.500), O at (0.500, 0.500, 0.000) and F at (0.000, 0.500, 0.500).

Entry 13:
Here is a relaxed structure of Mg2PdAuF from Alexandria via LeMat-Bulk. Energies are from PBE.

The calculation puts the formation energy (no corrections) at -85.4 kJ/mol of atoms. The calculation puts the electronic total energy at -18.0 eV for the cell shown.

The structure belongs to space group P4/mmm (No. 123); the cell edges are 4.167, 4.167 and 4.660 Å and the angles 90.00°, 90.00° and 90.00°. Symmetry generates all atoms from Mg at (0.000, 0.500, 0.000), Pd at (0.000, 0.000, 0.500), Au at (0.500, 0.500, 0.500) and F at (0.000, 0.000, 0.000).

Entry 14:
Here is a relaxed structure of RbMgAuF6 from Alexandria via LeMat-Bulk. Energies are from PBE.

The calculation puts the formation energy (no corrections) at -214.8 kJ/mol of atoms. The calculation puts the electronic total energy at -37.1 eV for the cell shown.

The structure belongs to space group P1 (No. 1); the cell edges are 5.562, 5.607 and 6.022 Å and the angles 91.16°, 91.49° and 115.13°. Symmetry generates all atoms from Rb at (0.000, 0.000, 0.000), Mg at (0.323, 0.682, 0.502), Au at (0.665, 0.336, 0.501), F at (0.073, 0.654, 0.273), F at (0.354, 0.927, 0.734), F at (0.357, 0.353, 0.339), F at (0.632, 0.007, 0.341), F at (0.651, 0.643, 0.661) and F at (0.997, 0.370, 0.661).

Entry 15:
Here is a relaxed structure of MgRe2AuF from Alexandria via LeMat-Bulk. Energies are from PBE.

The calculation puts the formation energy (no corrections) at 87.3 kJ/mol of atoms. The calculation puts the electronic total energy at -27.1 eV for the cell shown.

The structure belongs to space group P4/mmm (No. 123); the cell edges are 4.043, 4.043 and 5.071 Å and the angles 90.00°, 90.00° and 90.00°. Symmetry generates all atoms from Mg at (0.000, 0.000, 0.000), Re at (0.000, 0.500, 0.500), Au at (0.500, 0.500, 0.000) and F at (0.500, 0.500, 0.500).

Entry 16:
Here is a relaxed structure of Mg2AuSF from Alexandria via LeMat-Bulk. Energies are from PBE.

The calculation puts the formation energy (no corrections) at -32.6 kJ/mol of atoms. The calculation puts the electronic total energy at -14.2 eV for the cell shown.

The structure belongs to space group P4/mmm (No. 123); the cell edges are 5.195, 5.195 and 4.652 Å and the angles 90.00°, 90.00° and 90.00°. Symmetry generates all atoms from Mg at (0.000, 0.500, 0.000), Au at (0.000, 0.000, 0.000), S at (0.000, 0.000, 0.500) and F at (0.500, 0.500, 0.500).

Entry 17:
Here is a relaxed structure of Mg2AuSeF from Alexandria via LeMat-Bulk. Energies are from PBE.

The calculation puts the formation energy (no corrections) at -78.7 kJ/mol of atoms. The calculation puts the electronic total energy at -15.9 eV for the cell shown.

The structure belongs to space group P4/mmm (No. 123); the cell edges are 4.118, 4.118 and 5.370 Å and the angles 90.00°, 90.00° and 90.00°. Symmetry generates all atoms from Mg at (0.000, 0.500, 0.000), Au at (0.000, 0.000, 0.500), Se at (0.500, 0.500, 0.500) and F at (0.500, 0.500, 0.000).